Entry 1:
Below is a geometry-optimized Ac4IrAu2Se structure, with properties calculated at the PBE level.

Properties
- Formation energy without anion corrections: -1022 meV/atom
- SG: No. 10

a b c (Å): 7.747 4.426 7.993
angles (deg): 90.00 108.03 90.00
Element x y z (fractional)
Ac 0.229 0.000 0.223
Ac 0.239 0.500 0.767
Ac 0.761 0.500 0.233
Ac 0.771 0.000 0.777
Ir 0.000 0.500 0.000
Au 0.500 0.000 0.000
Au 0.500 0.500 0.500
Se 0.000 0.000 0.500

---

Entry 2:
Below is a geometry-optimized AcSmIrAu structure, with properties calculated at the PBE level.

Properties
- Calculated formation energy: -0.626 eV/atom
- SG: No. 216

a b c (Å): 5.232 5.232 5.232
angles (deg): 60.00 60.00 60.00
Element x y z (fractional)
Ac 0.000 0.000 0.000
Sm 0.500 0.500 0.500
Ir 0.750 0.750 0.750
Au 0.250 0.250 0.250

---

Entry 3:
Below is a geometry-optimized Ac2Sn4IrAu3 structure, with properties calculated at the PBE level.

Properties
- Calculated formation energy: -0.582 eV/atom
- SG: No. 115

a b c (Å): 4.728 4.728 11.311
angles (deg): 90.00 90.00 90.00
Element x y z (fractional)
Ac 0.000 0.500 0.231
Ac 0.500 0.000 0.769
Sn 0.000 0.000 0.500
Sn 0.000 0.500 0.880
Sn 0.500 0.000 0.120
Sn 0.500 0.500 0.500
Ir 0.500 0.500 0.000
Au 0.000 0.000 0.000
Au 0.000 0.500 0.641
Au 0.500 0.000 0.359

---

Magnetization for the records above, in order: 0.00 0.00 0.00 μB per atom